Crystalline Fe3ReAu at its relaxed geometry, computed with GGA-PBE.

Calculated values
Offset from the most stable computed form = 59.6 kJ/mol of atoms
Energy = -0.454 Ry/atom
Energy of formation = 2.05 eV/atom

The structure in extended XYZ format:
```
5
Lattice="4.624 0.000 0.000 0.000 4.624 0.000 0.000 0.000 4.624" Properties=species:S:1:pos:R:3 pbc="T T T"
Fe 0.000 0.000 2.312
Fe 0.000 2.312 0.000
Fe 2.312 0.000 0.000
Re 2.312 2.312 2.312
Au 0.000 0.000 0.000
```

Crystalline Fe2ReAu at its relaxed geometry, computed with GGA-PBE.

Calculated values
Offset from the most stable computed form = 13.3 kJ/mol of atoms
Energy = -0.576 Ry/atom
Energy of formation = 0.32 eV/atom

The structure in extended XYZ format:
```
4
Lattice="4.353 -1.353 0.000 4.353 1.353 0.000 -0.731 0.000 4.810" Properties=species:S:1:pos:R:3 pbc="T T T"
Fe 1.991 0.000 1.076
Fe 5.984 0.000 3.734
Re 4.353 0.000 0.000
Au -0.366 0.000 2.405
```

Crystalline Fe4ReAu at its relaxed geometry, computed with GGA-PBE.

Calculated values
Energy = -0.593 Ry/atom
Energy of formation = 0.19 eV/atom

The structure in extended XYZ format:
```
6
Lattice="0.000 3.363 3.363 3.363 0.000 3.363 3.363 3.363 0.000" Properties=species:S:1:pos:R:3 pbc="T T T"
Fe 0.836 0.836 0.836
Fe 2.527 2.527 0.836
Fe 2.527 0.836 2.527
Fe 0.836 2.527 2.527
Re 5.044 5.044 5.044
Au 3.363 3.363 3.363
```

Crystalline FeReAu at its relaxed geometry, computed with GGA-PBE.

Calculated values
Offset from the most stable computed form = 2.1 kJ/mol of atoms
Energy = -0.570 Ry/atom
Energy of formation = 0.31 eV/atom

The structure in extended XYZ format:
```
3
Lattice="2.771 0.000 0.000 -1.385 2.400 0.000 0.000 0.000 6.736" Properties=species:S:1:pos:R:3 pbc="T T T"
Fe 0.000 0.000 0.000
Re 1.385 0.800 1.967
Au 0.000 1.600 4.463
```

Crystalline Fe2ReAu at its relaxed geometry, computed with GGA-PBE.

Calculated values
Offset from the most stable computed form = 4.3 kJ/mol of atoms
Energy = -0.583 Ry/atom
Energy of formation = 0.23 eV/atom

The structure in extended XYZ format:
```
4
Lattice="2.793 0.000 0.000 0.000 2.793 0.000 0.000 0.000 7.215" Properties=species:S:1:pos:R:3 pbc="T T T"
Fe 0.000 0.000 0.000
Fe 1.396 1.396 1.499
Re 0.000 0.000 3.075
Au 1.396 1.396 5.251
```

Crystalline Fe2ReAu at its relaxed geometry, computed with GGA-PBE.

Calculated values
Offset from the most stable computed form = 13.0 kJ/mol of atoms
Energy = -0.576 Ry/atom
Energy of formation = 0.32 eV/atom

The structure in extended XYZ format:
```
4
Lattice="2.742 -3.764 0.000 2.742 3.764 0.000 0.000 0.000 2.707" Properties=species:S:1:pos:R:3 pbc="T T T"
Fe 1.371 1.882 0.000
Fe 1.371 -1.882 0.000
Re 0.000 0.000 1.354
Au 2.742 0.000 1.354
```

Crystalline Fe2ReAu at its relaxed geometry, computed with GGA-PBE.

Calculated values
Offset from the most stable computed form = 10.3 kJ/mol of atoms
Energy = -0.578 Ry/atom
Energy of formation = 0.29 eV/atom

The structure in extended XYZ format:
```
4
Lattice="1.388 0.801 8.620 -1.388 0.801 8.620 0.000 -1.603 8.620" Properties=species:S:1:pos:R:3 pbc="T T T"
Fe 0.000 0.000 0.000
Fe 0.000 0.000 6.743
Re 0.000 0.000 19.247
Au 0.000 0.000 13.106
```

Crystalline Fe2ReAu at its relaxed geometry, computed with GGA-PBE.

Calculated values
Offset from the most stable computed form = 21.4 kJ/mol of atoms
Energy = -0.570 Ry/atom
Energy of formation = 0.41 eV/atom

The structure in extended XYZ format:
```
4
Lattice="3.941 0.000 0.000 0.000 3.941 0.000 0.000 0.000 3.545" Properties=species:S:1:pos:R:3 pbc="T T T"
Fe 0.000 1.970 0.000
Fe 1.970 0.000 0.000
Re 0.000 0.000 1.772
Au 1.970 1.970 1.772
```